ZnPtSeO | PBE | relaxed

Cell and atoms, written as extended XYZ:
```
8
Lattice="-1.949 2.014 2.314 1.720 -1.553 2.800 8.025 8.202 -0.382" Properties=species:S:1:pos:R:3 pbc="T T T"
Pt -1.031 1.123 2.436
O 4.558 5.180 3.611
Zn 3.221 3.814 3.674
O 3.239 3.484 1.122
Pt 0.803 -0.661 2.679
Se 6.573 7.240 3.515
Se 1.223 1.424 1.218
Zn 4.576 4.850 1.058
```

Values from the calculation:
Magnetization in Bohr magnetons per cell: 0.00
Offset from the most stable computed form in kJ/mol of formula units: 160
Symmetry: P4/nmm

=====

KPrSb | PBE | relaxed

Cell and atoms, written as extended XYZ:
```
3
Lattice="2.718 1.569 4.439 -2.718 1.569 4.439 0.000 -3.139 4.439" Properties=species:S:1:pos:R:3 pbc="T T T"
Sb 0.000 0.000 9.988
K 0.000 0.000 3.329
Pr 0.000 0.000 0.000
```

Values from the calculation:
Magnetization in Bohr magnetons per cell: 0.23
Symmetry: F-43m

=====

AcMoPb | PBE | relaxed

Cell and atoms, written as extended XYZ:
```
3
Lattice="0.000 3.512 3.512 3.512 0.000 3.512 3.512 3.512 0.000" Properties=species:S:1:pos:R:3 pbc="T T T"
Ac 1.756 1.756 1.756
Pb 5.268 5.268 5.268
Mo 0.000 0.000 0.000
```

Values from the calculation:
Magnetization in Bohr magnetons per cell: 0.39
Offset from the most stable computed form in kJ/mol of formula units: 0
Symmetry: F-43m

=====

ErLuPb4 | PBE | relaxed

Cell and atoms, written as extended XYZ:
```
6
Lattice="3.301 0.000 0.000 0.000 3.145 9.587 0.000 -3.145 9.587" Properties=species:S:1:pos:R:3 pbc="T T T"
Pb 0.000 0.000 17.583
Pb 0.000 0.000 1.615
Er 0.000 0.000 7.865
Pb 0.000 0.000 14.452
Lu 0.000 0.000 11.292
Pb 0.000 0.000 4.717
```

Values from the calculation:
Magnetization in Bohr magnetons per cell: 0.00
Symmetry: Amm2

=====

CsTe5Au3 | PBE | relaxed

Cell and atoms, written as extended XYZ:
```
9
Lattice="6.018 0.000 0.000 -3.009 5.212 0.000 0.000 0.000 8.509" Properties=species:S:1:pos:R:3 pbc="T T T"
Te 0.000 3.475 1.347
Au 1.505 2.606 4.254
Te 0.000 0.000 4.254
Te 0.000 3.475 7.162
Au 3.009 0.000 4.254
Au -1.505 2.606 4.254
Te 3.009 1.737 7.162
Cs 0.000 0.000 0.000
Te 3.009 1.737 1.347
```

Values from the calculation:
Symmetry: P6/mmm

=====

DyAl2Pd5 | PBE | relaxed

Cell and atoms, written as extended XYZ:
```
8
Lattice="-2.066 2.066 7.468 2.066 -2.066 7.468 2.066 2.066 -7.468" Properties=species:S:1:pos:R:3 pbc="T T T"
Pd 2.066 0.000 5.315
Pd 0.000 0.000 7.468
Al 0.000 0.000 3.780
Pd 0.000 2.066 2.153
Dy 0.000 0.000 0.000
Pd 2.066 0.000 2.153
Al 0.000 0.000 11.156
Pd 0.000 2.066 5.315
```

Values from the calculation:
Magnetization in Bohr magnetons per cell: 0.01
Symmetry: I4/mmm

=====

Number 1: total DFT energy (no corrections) -0.1481 Ha/atom. Number 2: total DFT energy (no corrections) -0.1267 Ha/atom. Number 3: total DFT energy (no corrections) -0.2053 Ha/atom. Number 4: total DFT energy (no corrections) -0.1374 Ha/atom. Number 5: total DFT energy (no corrections) -0.1075 Ha/atom. Number 6: total DFT energy (no corrections) -0.2095 Ha/atom.